# InAg4Au3 | Alexandria via LeMat-Bulk | PBE | relaxed
# Calculated total energy: -0.111 hartree per atom
data_InAg4Au3
_space_group_name_H-M_alt 'P 1'
_space_group_IT_number 1
_space_group_name_Hall 'P 1'
_cell_length_a 3.1157
_cell_length_b 4.9289
_cell_length_c 13.5192
_cell_angle_alpha 133.58
_cell_angle_beta 96.62
_cell_angle_gamma 90.00
loop_
_atom_site_label
_atom_site_fract_x
_atom_site_fract_y
_atom_site_fract_z
Au1 0.2494 0.7477 0.4988
Au2 0.7506 0.2523 0.5012
Au3 0.0000 0.5000 0.0000
Ag1 0.6268 0.1307 0.2536
Ag2 0.1277 0.6362 0.2554
Ag3 0.3732 0.8693 0.7464
Ag4 0.8723 0.3638 0.7446
In1 0.5000 0.0000 0.0000

# Ba2BrO | Alexandria via LeMat-Bulk | PBE | relaxed
# Raw formation energy: -1985.4 meV per atom
data_Ba2BrO
_space_group_name_H-M_alt 'P 1'
_space_group_IT_number 1
_space_group_name_Hall 'P 1'
_cell_length_a 4.1653
_cell_length_b 4.1653
_cell_length_c 8.2445
_cell_angle_alpha 75.37
_cell_angle_beta 75.37
_cell_angle_gamma 60.00
loop_
_atom_site_label
_atom_site_fract_x
_atom_site_fract_y
_atom_site_fract_z
Ba1 0.0598 0.0598 0.8207
Ba2 0.2673 0.2673 0.1981
O1 0.6761 0.6761 0.9716
Br1 0.4968 0.4968 0.5096

# Tb4Nd5Sm2 | Alexandria via LeMat-Bulk | PBE | relaxed
# Calculated total energy: -0.166 hartree per atom
data_Tb4Nd5Sm2
_space_group_name_H-M_alt 'P 1'
_space_group_IT_number 1
_space_group_name_Hall 'P 1'
_cell_length_a 3.5492
_cell_length_b 9.2473
_cell_length_c 12.8060
_cell_angle_alpha 111.17
_cell_angle_beta 97.97
_cell_angle_gamma 90.00
loop_
_atom_site_label
_atom_site_fract_x
_atom_site_fract_y
_atom_site_fract_z
Tb1 0.5965 0.5965 0.1930
Tb2 0.0000 0.6896 0.0000
Tb3 0.0000 0.3104 0.0000
Tb4 0.4035 0.4035 0.8070
Nd1 0.8543 0.0542 0.7086
Nd2 0.8543 0.6544 0.7086
Nd3 0.5000 0.0000 0.0000
Nd4 0.1457 0.9458 0.2914
Nd5 0.1457 0.3456 0.2914
Sm1 0.2690 0.2690 0.5380
Sm2 0.7310 0.7310 0.4620

# BaTlHg2Pb | Alexandria via LeMat-Bulk | PBE | relaxed
# Calculated total energy: -0.075 hartree per atom
data_BaTlHg2Pb
_space_group_name_H-M_alt 'P 1'
_space_group_IT_number 1
_space_group_name_Hall 'P 1'
_cell_length_a 5.1618
_cell_length_b 5.1557
_cell_length_c 7.2120
_cell_angle_alpha 110.94
_cell_angle_beta 110.97
_cell_angle_gamma 90.00
loop_
_atom_site_label
_atom_site_fract_x
_atom_site_fract_y
_atom_site_fract_z
Pb1 0.8279 0.8279 0.6558
Ba1 0.4504 0.4504 0.9008
Hg1 0.6856 0.1856 0.3712
Hg2 0.0620 0.0620 0.1239
Tl1 0.1863 0.6863 0.3726

Short version: N(E_F) = 2.371, 0.880, 16.528, 1.777 states/eV/cell, in the order given.